Density functional theory data (GGA-PBE) for Nd2MnSi2H after structural relaxation.

Computed properties:
- Energy: -28.2 eV/cell
- DOS(E_F): 6.07 states/eV per cell

Cell and atoms, written as POSCAR:
```
Nd2MnSi2H
1.0
3.014 0.000 0.000
0.000 3.014 0.000
0.000 0.000 14.986
Nd Mn Si H
2 1 2 1
Direct
0.000 0.000 0.144
0.000 0.000 0.856
0.000 0.000 0.500
0.000 0.000 0.341
0.000 0.000 0.659
0.000 0.000 0.000
```

Density functional theory data (GGA-PBE) for MnNiH4 after structural relaxation.

Computed properties:
- Energy: -56.3 eV/cell
- DOS(E_F): 2.88 states/eV per cell

Cell and atoms, written as POSCAR:
```
MnNiH4
1.0
2.907 -2.905 0.000
2.907 2.905 0.000
-2.884 0.000 4.149
Mn Ni H
2 2 8
Direct
0.125 0.875 0.750
0.875 0.125 0.250
0.375 0.625 0.250
0.625 0.375 0.750
0.000 0.252 0.000
0.000 0.748 0.000
0.251 0.499 0.500
0.252 0.000 0.500
0.499 0.251 0.000
0.501 0.749 0.000
0.748 0.000 0.500
0.749 0.501 0.500
```